Run A
DFT (GGA-PBE) results for an optimized crystal structure of PmNd4Tm6.

a b c (Å): 7.772 7.772 8.472
angles (deg): 117.30 117.30 90.00
Positions (direct):
Nd1 0.250 0.250 0.151
Tm1 0.063 0.063 0.634
Tm2 0.500 0.000 0.000
Nd2 0.750 0.099 0.849
Nd3 0.901 0.901 0.151
Tm3 0.429 0.937 0.366
Tm4 0.571 0.571 0.634
Tm5 0.000 0.500 0.000
Nd4 0.099 0.750 0.849
Tm6 0.937 0.429 0.366
Pm1 0.500 0.500 0.000

* volume: 35.403 Å³/atom
* N(E_F): 15.77 states/eV/f.u.



Run B
DFT (GGA-PBE) results for an optimized crystal structure of PmNd4Tm6.

a b c (Å): 9.676 9.676 9.676
angles (deg): 58.24 139.74 139.74
Positions (direct):
Tm1 0.644 0.198 0.198
Nd1 0.000 0.015 0.635
Nd2 0.620 0.985 0.985
Tm2 0.000 0.802 0.446
Tm3 0.500 0.000 0.500
Tm4 0.500 0.500 0.000
Tm5 0.356 0.554 0.554
Nd3 0.380 0.365 0.365
Pm1 0.000 0.000 0.000
Tm6 0.000 0.446 0.802
Nd4 0.000 0.635 0.015

* volume: 34.078 Å³/atom
* N(E_F): 13.83 states/eV/f.u.



Need the numbers? Relative energies in meV/atom: run A 163; run B 0.



Run A
DFT (GGA-PBE) results for an optimized crystal structure of Pm8NdTm2.

a b c (Å): 5.657 10.323 10.323
angles (deg): 39.98 93.07 93.07
Positions (direct):
Pm1 0.269 0.135 0.598
Tm1 0.746 0.285 0.285
Pm2 0.238 0.545 0.545
Nd1 0.000 0.000 0.000
Pm3 0.731 0.402 0.865
Pm4 0.762 0.455 0.455
Pm5 0.731 0.865 0.402
Tm2 0.254 0.715 0.715
Pm6 0.231 0.188 0.188
Pm7 0.269 0.598 0.135
Pm8 0.769 0.812 0.812

* volume: 35.154 Å³/atom
* N(E_F): 16.70 states/eV/f.u.



Run B
DFT (GGA-PBE) results for an optimized crystal structure of Pm8NdTm2.

a b c (Å): 8.620 9.277 9.277
angles (deg): 42.72 52.31 52.31
Positions (direct):
Pm1 0.201 0.351 0.833
Pm2 0.705 0.261 0.261
Pm3 0.799 0.167 0.649
Pm4 0.201 0.833 0.351
Nd1 0.000 0.000 0.000
Pm5 0.223 0.391 0.391
Pm6 0.295 0.739 0.739
Tm1 0.530 0.856 0.856
Tm2 0.470 0.144 0.144
Pm7 0.777 0.609 0.609
Pm8 0.799 0.649 0.167

* volume: 34.511 Å³/atom
* N(E_F): 15.62 states/eV/f.u.



Need the numbers? Relative energies in meV/atom: run A 0; run B 71.



Run A
DFT (GGA-PBE) results for an optimized crystal structure of Pm4NdTm2.

a b c (Å): 12.546 12.546 6.805
angles (deg): 97.02 97.02 150.16
Positions (direct):
Tm1 0.620 0.302 0.447
Pm1 0.715 0.178 0.868
Pm2 0.144 0.037 0.102
Pm3 0.561 0.597 0.133
Nd1 0.677 0.427 0.000
Tm2 0.923 0.105 0.053
Pm4 0.178 0.715 0.368
Pm5 0.792 0.185 0.398
Pm6 0.597 0.561 0.633
Nd2 0.427 0.677 0.500
Tm3 0.105 0.923 0.553
Pm7 0.185 0.792 0.898
Tm4 0.302 0.620 0.947
Pm8 0.037 0.144 0.602

* volume: 33.506 Å³/atom
* N(E_F): 10.24 states/eV/f.u.



Run B
DFT (GGA-PBE) results for an optimized crystal structure of Pm4NdTm2.

a b c (Å): 8.947 8.941 8.939
angles (deg): 134.55 99.59 97.58
Positions (direct):
Pm1 0.872 0.128 0.255
Nd1 0.158 0.251 0.092
Pm2 0.464 0.694 0.734
Nd2 0.092 0.684 0.593
Pm3 0.378 0.133 0.756
Pm4 0.959 0.693 0.231
Tm1 0.593 0.685 0.092
Tm2 0.657 0.249 0.592
Pm5 0.375 0.696 0.319
Pm6 0.786 0.020 0.730
Tm3 0.125 0.399 0.774
Tm4 0.625 0.401 0.276
Pm7 0.875 0.694 0.821
Pm8 0.291 0.022 0.235

* volume: 33.570 Å³/atom
* N(E_F): 8.32 states/eV/f.u.



Need the numbers? Relative energies in meV/atom: run A 0; run B 115.



Run A
DFT (GGA-PBE) results for an optimized crystal structure of Pm7Nd4Tm.

a b c (Å): 7.335 9.701 9.116
angles (deg): 81.20 90.06 40.93
Positions (direct):
Pm1 0.251 0.500 0.000
Pm2 0.500 0.000 0.000
Pm3 0.219 0.781 0.668
Nd1 0.277 0.222 0.332
Pm4 0.969 0.279 0.671
Pm5 0.031 0.721 0.329
Nd2 0.472 0.280 0.670
Nd3 0.528 0.720 0.330
Pm6 0.749 0.500 0.000
Nd4 0.723 0.778 0.668
Pm7 0.781 0.219 0.332
Tm1 0.000 0.000 0.000

* volume: 34.424 Å³/atom
* N(E_F): 16.80 states/eV/f.u.



Run B
DFT (GGA-PBE) results for an optimized crystal structure of Pm7Nd4Tm.

a b c (Å): 6.063 9.842 8.772
angles (deg): 60.16 69.78 72.06
Site moments in Bohr magnetons follow the coordinates.
Positions (direct):
Pm1 0.920 0.434 0.727  0.00
Pm2 0.207 0.778 0.808  0.00
Tm1 0.000 0.000 0.000  0.13
Nd1 0.326 0.388 0.961  0.01
Nd2 0.425 0.701 0.448  0.00
Pm3 0.792 0.875 0.541  0.00
Pm4 0.793 0.222 0.192  0.00
Pm5 0.500 0.000 0.000  0.10
Nd3 0.575 0.299 0.552  0.00
Nd4 0.674 0.612 0.039  0.01
Pm6 0.208 0.125 0.459  0.00
Pm7 0.080 0.566 0.273  0.00

* volume: 35.006 Å³/atom
* N(E_F): 18.54 states/eV/f.u.



Need the numbers? Relative energies in meV/atom: run A 0; run B 201.



Run A
DFT (GGA-PBE) results for an optimized crystal structure of Pm6Nd12Tm.

a b c (Å): 8.752 8.752 8.752
angles (deg): 89.19 89.19 89.19
Positions (direct):
Nd1 0.017 0.192 0.360
Nd2 0.565 0.220 0.464
Nd3 0.983 0.808 0.640
Pm1 0.096 0.700 0.262
Pm2 0.300 0.738 0.904
Nd4 0.220 0.464 0.565
Nd5 0.464 0.565 0.220
Pm3 0.700 0.262 0.096
Nd6 0.640 0.983 0.808
Nd7 0.192 0.360 0.017
Nd8 0.536 0.435 0.780
Nd9 0.360 0.017 0.192
Nd10 0.808 0.640 0.983
Pm4 0.738 0.904 0.300
Pm5 0.904 0.300 0.738
Tm1 0.000 0.000 0.000
Nd11 0.435 0.780 0.536
Nd12 0.780 0.536 0.435
Pm6 0.262 0.096 0.700

* volume: 35.275 Å³/atom
* N(E_F): 30.56 states/eV/f.u.



Run B
DFT (GGA-PBE) results for an optimized crystal structure of Pm6Nd12Tm.

a b c (Å): 8.884 8.884 8.884
angles (deg): 97.64 97.64 97.64
Positions (direct):
Pm1 0.862 0.862 0.594
Nd1 0.263 0.737 0.000
Pm2 0.406 0.138 0.138
Nd2 0.830 0.417 0.417
Tm1 0.000 0.000 0.000
Pm3 0.138 0.138 0.406
Nd3 0.170 0.583 0.583
Pm4 0.862 0.594 0.862
Nd4 0.737 0.000 0.263
Nd5 0.000 0.263 0.737
Nd6 0.263 0.000 0.737
Pm5 0.594 0.862 0.862
Nd7 0.000 0.737 0.263
Nd8 0.417 0.417 0.830
Nd9 0.583 0.583 0.170
Nd10 0.583 0.170 0.583
Nd11 0.737 0.263 0.000
Pm6 0.138 0.406 0.138
Nd12 0.417 0.830 0.417

* volume: 35.819 Å³/atom
* N(E_F): 26.66 states/eV/f.u.



Need the numbers? Relative energies in meV/atom: run A 8; run B 0.



Run A
DFT (GGA-PBE) results for an optimized crystal structure of Pm6Nd2Tm3.

a b c (Å): 4.787 4.787 17.271
angles (deg): 97.97 97.97 90.00
Positions (direct):
Tm1 0.000 0.000 0.000
Pm1 0.122 0.622 0.244
Pm2 0.378 0.878 0.756
Tm2 0.199 0.199 0.397
Pm3 0.300 0.300 0.600
Tm3 0.801 0.801 0.603
Nd1 0.545 0.545 0.091
Pm4 0.878 0.378 0.756
Pm5 0.622 0.122 0.244
Nd2 0.455 0.455 0.909
Pm6 0.700 0.700 0.400

* volume: 35.285 Å³/atom
* N(E_F): 15.70 states/eV/f.u.



Run B
DFT (GGA-PBE) results for an optimized crystal structure of Pm6Nd2Tm3.

a b c (Å): 8.526 6.127 15.630
angles (deg): 74.29 44.92 108.39
Positions (direct):
Pm1 0.560 0.058 0.349
Tm1 0.895 0.740 0.279
Nd1 0.729 0.542 0.814
Tm2 0.000 0.000 0.000
Pm2 0.405 0.832 0.903
Tm3 0.105 0.260 0.721
Nd2 0.271 0.458 0.186
Pm3 0.595 0.168 0.097
Pm4 0.186 0.347 0.454
Pm5 0.440 0.942 0.651
Pm6 0.814 0.653 0.546

* volume: 33.606 Å³/atom
* N(E_F): 16.08 states/eV/f.u.



Need the numbers? Relative energies in meV/atom: run A 208; run B 0.



Run A
DFT (GGA-PBE) results for an optimized crystal structure of Pm2Nd7Tm2.

a b c (Å): 6.125 8.185 8.185
angles (deg): 89.66 74.47 74.47
Positions (direct):
Tm1 0.500 0.218 0.782
Nd1 0.179 0.588 0.047
Pm1 0.403 0.226 0.226
Nd2 0.799 0.425 0.425
Nd3 0.179 0.047 0.588
Nd4 0.821 0.412 0.953
Tm2 0.500 0.782 0.218
Nd5 0.821 0.953 0.412
Nd6 0.201 0.575 0.575
Nd7 0.000 0.000 0.000
Pm2 0.597 0.774 0.774

* volume: 34.540 Å³/atom
* N(E_F): 15.51 states/eV/f.u.



Run B
DFT (GGA-PBE) results for an optimized crystal structure of Pm2Nd7Tm2.

a b c (Å): 8.452 6.871 6.871
angles (deg): 86.76 79.05 79.05
Positions (direct):
Nd1 0.180 0.096 0.501
Tm1 0.500 0.798 0.202
Pm1 0.827 0.415 0.415
Nd2 0.820 0.499 0.904
Pm2 0.173 0.585 0.585
Tm2 0.500 0.202 0.798
Nd3 0.000 0.000 0.000
Nd4 0.180 0.501 0.096
Nd5 0.475 0.712 0.712
Nd6 0.820 0.904 0.499
Nd7 0.525 0.288 0.288

* volume: 34.957 Å³/atom
* N(E_F): 15.90 states/eV/f.u.



Need the numbers? Relative energies in meV/atom: run A 0; run B 32.



Run A
DFT (GGA-PBE) results for an optimized crystal structure of Pm3Nd2Tm4.

a b c (Å): 8.001 6.226 10.724
angles (deg): 72.97 132.04 130.41
Positions (direct):
Nd1 0.335 0.667 0.223
Tm1 0.336 0.667 0.891
Nd2 0.665 0.333 0.777
Tm2 0.995 0.997 0.331
Pm1 0.670 0.335 0.446
Pm2 0.330 0.665 0.554
Tm3 0.664 0.333 0.109
Tm4 0.005 0.003 0.669
Pm3 0.000 0.000 0.000

* volume: 32.505 Å³/atom
* N(E_F): 11.37 states/eV/f.u.



Run B
DFT (GGA-PBE) results for an optimized crystal structure of Pm3Nd2Tm4.

a b c (Å): 6.126 11.255 11.255
angles (deg): 62.65 63.21 63.21
Positions (direct):
Pm1 0.734 0.692 0.984
Nd1 0.062 0.486 0.735
Tm1 0.424 0.946 0.171
Tm2 0.397 0.618 0.848
Tm3 0.103 0.152 0.382
Pm2 0.266 0.308 0.016
Tm4 0.076 0.829 0.054
Pm3 0.250 0.638 0.362
Pm4 0.234 0.984 0.692
Nd2 0.438 0.265 0.514
Tm5 0.603 0.382 0.152
Nd3 0.938 0.514 0.265
Tm6 0.897 0.848 0.618
Pm5 0.750 0.362 0.638
Tm7 0.924 0.171 0.946
Nd4 0.562 0.735 0.486
Pm6 0.766 0.016 0.308
Tm8 0.576 0.054 0.829

* volume: 32.530 Å³/atom
* N(E_F): 13.14 states/eV/f.u.



Need the numbers? Relative energies in meV/atom: run A 0; run B 78.



Run A
DFT (GGA-PBE) results for an optimized crystal structure of Pm5Nd3Tm3.

a b c (Å): 5.579 9.743 9.743
angles (deg): 120.00 90.00 90.00
Positions (direct):
Nd1 0.000 0.000 0.572
Pm1 0.500 0.270 0.270
Pm2 0.500 0.333 0.667
Pm3 0.500 0.730 0.000
Nd2 0.000 0.428 0.428
Pm4 0.500 0.000 0.730
Nd3 0.000 0.572 0.000
Tm1 0.500 0.369 0.000
Pm5 0.500 0.667 0.333
Tm2 0.500 0.000 0.369
Tm3 0.500 0.631 0.631

* volume: 41.697 Å³/atom
* N(E_F): 18.17 states/eV/f.u.



Run B
DFT (GGA-PBE) results for an optimized crystal structure of Pm5Nd3Tm3.

a b c (Å): 3.461 11.338 11.338
angles (deg): 120.00 90.00 90.00
Positions (direct):
Nd1 0.000 0.597 0.000
Pm1 0.500 0.333 0.667
Pm2 0.500 0.667 0.333
Pm3 0.500 0.000 0.336
Tm1 0.500 0.841 0.000
Nd2 0.000 0.403 0.403
Tm2 0.500 0.000 0.841
Nd3 0.000 0.000 0.597
Pm4 0.500 0.336 0.000
Pm5 0.500 0.664 0.664
Tm3 0.500 0.159 0.159

* volume: 35.031 Å³/atom
* N(E_F): 17.58 states/eV/f.u.



Need the numbers? Relative energies in meV/atom: run A 419; run B 0.



Run A
DFT (GGA-PBE) results for an optimized crystal structure of Pm7Nd2Tm3.

a b c (Å): 3.634 5.869 19.033
angles (deg): 93.93 90.00 90.00
Positions (direct):
Tm1 0.000 0.218 0.370
Nd1 0.500 0.704 0.297
Pm1 0.000 0.000 0.000
Pm2 0.000 0.671 0.143
Pm3 0.500 0.174 0.180
Tm2 0.500 0.500 0.000
Tm3 0.000 0.782 0.630
Pm4 0.500 0.826 0.820
Pm5 0.500 0.259 0.536
Pm6 0.500 0.741 0.464
Nd2 0.500 0.296 0.703
Pm7 0.000 0.329 0.857

* volume: 33.745 Å³/atom
* N(E_F): 15.98 states/eV/f.u.



Run B
DFT (GGA-PBE) results for an optimized crystal structure of Pm7Nd2Tm3.

a b c (Å): 3.564 6.447 18.124
angles (deg): 75.19 90.00 90.00
Positions (direct):
Pm1 0.500 0.238 0.504
Nd1 0.500 0.612 0.329
Pm2 0.000 0.558 0.164
Tm1 0.000 0.114 0.342
Pm3 0.000 0.442 0.836
Nd2 0.500 0.388 0.671
Pm4 0.000 0.000 0.000
Pm5 0.500 0.762 0.496
Pm6 0.500 0.942 0.830
Pm7 0.500 0.058 0.170
Tm2 0.000 0.886 0.658
Tm3 0.500 0.500 0.000

* volume: 33.555 Å³/atom
* N(E_F): 17.65 states/eV/f.u.



Need the numbers? Relative energies in meV/atom: run A 21; run B 0.